Compound: PrYGaCu
Source: Alexandria via LeMat-Bulk
Functional: PBE-GGA
Structure: relaxed

Unit cell a=5.120 b=5.120 c=5.120 alpha=60.00 beta=60.00 gamma=60.00
Element x y z (fractional)
Pr 0.000 0.000 0.000
Y 0.500 0.500 0.500
Ga 0.250 0.250 0.250
Cu 0.750 0.750 0.750

Values from the calculation:
N(E_F)   0.94 states/eV/atom
Crystal system   cubic
E   -4.959 eV per atom
Formation energy   -367 meV per atom